ScVO2: relaxed, PBE+U.

Lattice parameters (Å, degrees): 6.3376 6.3376 6.3376 29.63 29.63 29.63
Last column: nearest neighbours and their distance in Å.
Fractional positions:
O (0.8902, 0.8902, 0.8902)  1 V 1.99, 3 Sc 2.14
Sc (0.5000, 0.5000, 0.5000)  6 O 2.14
V (0.0000, 0.0000, 0.0000)  2 O 1.99
O (0.1098, 0.1098, 0.1098)  1 V 1.99, 3 Sc 2.14

Computed properties:
- Size of the total moment: 2.9 μB/f.u.
- DOS(E_F): 2.093 states/eV per cell
- Distance to the lowest polymorph of the same formula: 0 meV per atom